# 1
The following is a DFT calculation (PBE-GGA) of crystalline ScAlOsO6 at its relaxed geometry.

a = 4.9954 Å, b = 4.9954 Å, c = 9.1629 Å
α = 90.00°, β = 90.00°, γ = 120.00°
Last column: nearest neighbours and their distance in Å.
Positions (direct):
Sc1 0.0000 0.0000 0.0000  6 O 2.15
Sc2 0.0000 0.0000 0.5000  6 O 2.15
Al1 0.3333 0.6667 0.2500  6 O 1.92
Al2 0.6667 0.3333 0.7500  6 O 1.92
Os1 0.3333 0.6667 0.7500  6 O 1.94
Os2 0.6667 0.3333 0.2500  6 O 1.94
O1 0.0038 0.3529 0.1364  1 Al 1.92, 1 Os 1.94
O2 0.0038 0.6509 0.3636  1 Al 1.92, 1 Os 1.94
O3 0.3491 0.3529 0.3636  1 Al 1.92, 1 Os 1.94
O4 0.3491 0.9962 0.1364  1 Al 1.92, 1 Os 1.94
O5 0.3529 0.0038 0.6364  1 Al 1.92, 1 Os 1.94
O6 0.3529 0.3491 0.8636  1 Al 1.92, 1 Os 1.94
O7 0.6471 0.6509 0.1364  1 Al 1.92, 1 Os 1.94
O8 0.6471 0.9962 0.3636  1 Al 1.92, 1 Os 1.94
O9 0.6509 0.0038 0.8636  1 Al 1.92, 1 Os 1.94
O10 0.6509 0.6471 0.6364  1 Al 1.92, 1 Os 1.94
O11 0.9962 0.3491 0.6364  1 Al 1.92, 1 Os 1.94
O12 0.9962 0.6471 0.8636  1 Al 1.92, 1 Os 1.94

Energy   -7.851 eV per atom
Uncorrected formation energy   -2.179 eV/atom
Total moment   2.01 μB/f.u.

---

# 2
The following is a DFT calculation (PBE-GGA) of crystalline AlSnOsO6 at its relaxed geometry.

a = 5.0271 Å, b = 5.0271 Å, c = 8.9843 Å
α = 90.00°, β = 90.00°, γ = 120.00°
Last column: nearest neighbours and their distance in Å.
Positions (direct):
Al1 0.3333 0.6667 0.2500  6 O 1.91
Al2 0.6667 0.3333 0.7500  6 O 1.91
Sn1 0.0000 0.0000 0.0000  6 O 2.13
Sn2 0.0000 0.0000 0.5000  6 O 2.13
Os1 0.3333 0.6667 0.7500  6 O 1.98
Os2 0.6667 0.3333 0.2500  6 O 1.98
O1 0.0099 0.3541 0.1334  1 Al 1.91, 1 Os 1.98, 1 Sn 2.13
O2 0.0099 0.6558 0.3666  1 Al 1.91, 1 Os 1.98, 1 Sn 2.13
O3 0.3442 0.3541 0.3666  1 Al 1.91, 1 Os 1.98, 1 Sn 2.13
O4 0.3442 0.9901 0.1334  1 Al 1.91, 1 Os 1.98, 1 Sn 2.13
O5 0.3541 0.0099 0.6334  1 Al 1.91, 1 Os 1.98, 1 Sn 2.13
O6 0.3541 0.3442 0.8666  1 Al 1.91, 1 Os 1.98, 1 Sn 2.13
O7 0.6459 0.6558 0.1334  1 Al 1.91, 1 Os 1.98, 1 Sn 2.13
O8 0.6459 0.9901 0.3666  1 Al 1.91, 1 Os 1.98, 1 Sn 2.13
O9 0.6558 0.0099 0.8666  1 Al 1.91, 1 Os 1.98, 1 Sn 2.13
O10 0.6558 0.6459 0.6334  1 Al 1.91, 1 Os 1.98, 1 Sn 2.13
O11 0.9901 0.3442 0.6334  1 Al 1.91, 1 Os 1.98, 1 Sn 2.13
O12 0.9901 0.6459 0.8666  1 Al 1.91, 1 Os 1.98, 1 Sn 2.13

Energy   -7.084 eV per atom
Uncorrected formation energy   -1.670 eV/atom
Total moment   2.84 μB/f.u.